The following is a DFT calculation (SCAN) of a PBEsol-optimized structure of Co7W.

The structure in CIF format:
```
data_Co7W
_space_group_name_H-M_alt 'F m -3 m'
_space_group_IT_number 225
_space_group_name_Hall '-F 4 2 3'
_cell_length_a 7.028
_cell_length_b 7.028
_cell_length_c 7.028
_cell_angle_alpha 90.00
_cell_angle_beta 90.00
_cell_angle_gamma 90.00
loop_
_atom_site_label
_atom_site_type_symbol
_atom_site_fract_x
_atom_site_fract_y
_atom_site_fract_z
_atom_site_occupancy
Co1 Co 0.000 0.000 0.000 1
Co2 Co 0.000 0.250 0.250 1
W1 W 0.000 0.000 0.500 1
```

The following is a DFT calculation (SCAN) of a PBEsol-optimized structure of Co3W4.

The structure in CIF format:
```
data_Co3W4
_space_group_name_H-M_alt 'P 6/m m m'
_space_group_IT_number 191
_space_group_name_Hall '-P 6 2'
_cell_length_a 4.7070
_cell_length_b 4.7070
_cell_length_c 4.7946
_cell_angle_alpha 90.00
_cell_angle_beta 90.00
_cell_angle_gamma 120.00
loop_
_atom_site_label
_atom_site_type_symbol
_atom_site_fract_x
_atom_site_fract_y
_atom_site_fract_z
_atom_site_occupancy
Co1 Co 0.0000 0.5000 0.0000 1
W1 W 0.0000 0.0000 0.2526 1
W2 W 0.3333 0.6667 0.5000 1
```

The following is a DFT calculation (SCAN) of a PBEsol-optimized structure of Y2CoW.

The structure in CIF format:
```
data_Y2CoW
_space_group_name_H-M_alt 'P 4/m m m'
_space_group_IT_number 123
_space_group_name_Hall '-P 4 2'
_cell_length_a 3.110
_cell_length_b 3.110
_cell_length_c 7.916
_cell_angle_alpha 90.00
_cell_angle_beta 90.00
_cell_angle_gamma 90.00
loop_
_atom_site_label
_atom_site_type_symbol
_atom_site_fract_x
_atom_site_fract_y
_atom_site_fract_z
_atom_site_occupancy
Y1 Y 0.000 0.000 0.218 1
Co1 Co 0.500 0.500 0.000 1
W1 W 0.500 0.500 0.500 1
```

Values from the calculation:
**Energy above the most stable polymorph in this dataset**: 0.336 eV/atom

The following is a DFT calculation (SCAN) of a PBEsol-optimized structure of YCo2W.

The structure in CIF format:
```
data_YCo2W
_space_group_name_H-M_alt 'P 4 m m'
_space_group_IT_number 99
_cell_length_a 3.068
_cell_length_b 3.068
_cell_length_c 6.601
_cell_angle_alpha 90.00
_cell_angle_beta 90.00
_cell_angle_gamma 90.00
loop_
_space_group_symop_operation_xyz
'x,y,z'
'-y,x,z'
'-x,-y,z'
'y,-x,z'
'-x,y,z'
'y,x,z'
'x,-y,z'
'-y,-x,z'
loop_
_atom_site_label
_atom_site_type_symbol
_atom_site_fract_x
_atom_site_fract_y
_atom_site_fract_z
_atom_site_occupancy
Y1 Y 0.000 0.000 0.000 1
Co1 Co 0.000 0.000 0.477 1
Co2 Co 0.500 0.500 0.299 1
W1 W 0.500 0.500 0.663 1
```

Quick rundown of formation enthalpy at 0 K, same order as above: 1.4, 1.1, 2.0, 1.3 eV per formula unit
Quick rundown of E, same order as above: -23.68, -47.08, -35.17, -32.71 eV/atom